Record 1
GGA-PBE TbTmSb2, relaxed; formation energy from raw total energies = -4.2 eV per formula unit; ΔE to the lowest computed polymorph = 26.8 kJ/mol of formula units; final energy = -5.37 eV per atom; N(E_F) = 0.179 states/eV/atom
1.0
-3.374 2.737 0.292
-0.428 -3.762 -2.150
-4.203 -6.479 12.172
Tm Tb Sb
2 2 4
Cartesian
0.000 0.000 0.000
-2.101 -3.240 6.086
-4.562 -6.455 7.793
-3.443 -1.049 2.521
-3.005 -4.054 3.283
-6.088 -5.128 10.183
-5.000 -3.450 7.031
-1.917 -2.376 0.131

***

Record 2
GGA-PBE CaCrPt2, relaxed; calculated formation energy = -373 meV/atom; ΔE to the lowest computed polymorph = 16.4 kJ/mol of formula units; final energy = -6.30 eV per atom; N(E_F) = 0.544 states/eV/atom
1.0
-2.995 -0.988 -3.310
6.914 0.566 -0.832
1.834 -2.780 -0.827
Cr Pt Ca
1 2 1
Cartesian
-0.580 -1.884 -2.068
0.000 0.000 0.000
4.374 -1.107 -0.829
1.960 -0.211 -2.071

***

Record 3
GGA-PBE MnTc2Ni, relaxed; calculated formation energy = 530 meV/atom; ΔE to the lowest computed polymorph = 207.1 kJ/mol of formula units; final energy = -8.39 eV per atom; N(E_F) = 0.958 states/eV/atom
1.0
-2.784 -1.378 1.770
2.213 -2.149 1.807
0.645 4.578 8.191
Ni Tc Mn
2 4 2
Cartesian
-1.212 0.718 5.875
0.000 0.000 0.000
1.204 -0.368 3.394
-1.309 0.011 3.385
0.264 2.116 7.480
-0.010 0.342 9.278
-0.285 -1.764 1.789
1.287 0.333 5.894

***

Record 4
GGA-PBE Lu2AlIn, relaxed; calculated formation energy = -384 meV/atom; final energy = -4.27 eV per atom; N(E_F) = 0.323 states/eV/atom
1.0
-2.122 -2.615 -0.502
1.698 -0.834 -2.831
4.899 -4.811 4.355
Lu In Al
2 1 1
Cartesian
3.747 -3.680 3.332
1.151 -1.131 1.023
2.237 -4.130 0.511
-0.212 -1.725 -1.666

***

Record 5
GGA-PBE TmSbRh2, relaxed; formation energy from raw total energies = -1.3 eV per formula unit; final energy = -6.15 eV per atom; N(E_F) = 0.541 states/eV/atom
1.0
-0.656 3.785 -1.166
-1.969 -1.337 -3.233
-4.357 -1.151 5.622
Sb Rh Tm
1 2 1
Cartesian
-4.495 0.057 2.714
-1.239 -0.665 -1.462
-0.583 1.896 -0.429
-1.785 0.023 1.078

***

Record 6
GGA-PBE VNi2Rh4, relaxed; calculated formation energy = 799 meV/atom; ΔE to the lowest computed polymorph = 576.0 kJ/mol of formula units; final energy = -6.36 eV per atom; N(E_F) = 1.639 states/eV/atom
1.0
-3.909 2.221 0.285
-1.564 -3.119 2.849
-0.656 2.632 6.081
Rh Ni V
4 2 1
Cartesian
-1.954 1.111 0.143
-4.677 0.282 4.862
-0.782 -1.559 1.425
-1.452 1.453 4.354
-3.825 1.543 6.710
-2.304 0.191 2.505
0.000 0.000 0.000

***

Record 7
GGA-PBE TbGa4Ni2Ru, relaxed; calculated formation energy = -451 meV/atom; final energy = -5.15 eV per atom; N(E_F) = 0.529 states/eV/atom
1.0
4.105 0.000 0.000
2.053 3.555 0.000
2.053 1.185 8.806
Tb Ru Ni Ga
1 1 2 4
Cartesian
0.000 0.000 0.000
4.105 2.370 4.403
2.053 1.185 2.653
6.158 3.555 6.154
6.158 3.555 3.433
2.053 1.185 5.374
4.105 2.370 1.808
4.105 2.370 6.998

***

Record 8
GGA-PBE Hf2InMoBr, relaxed; formation energy from raw total energies = 4.2 eV per formula unit; final energy = -6.20 eV per atom; N(E_F) = 1.218 states/eV/atom
1.0
-4.232 -2.200 1.210
1.828 -1.276 4.073
-1.597 4.188 2.030
In Br Mo Hf
1 1 1 2
Cartesian
-2.000 0.356 3.656
0.000 0.000 0.000
0.914 -0.638 2.036
-0.799 2.094 1.015
-2.116 -1.100 0.605

***

Record 9
GGA-PBE Sr2V2Sn, relaxed; calculated formation energy = 942 meV/atom; ΔE to the lowest computed polymorph = 319.9 kJ/mol of formula units; final energy = -4.18 eV per atom; N(E_F) = 1.345 states/eV/atom
1.0
-6.691 -3.797 -4.569
1.882 -7.881 3.795
-2.438 0.812 2.896
Sn V Sr
2 4 4
Cartesian
-2.404 -5.839 -0.387
0.000 0.000 0.000
-1.027 -5.352 3.225
-6.220 -5.514 -1.103
-4.017 -8.738 1.656
-3.230 -2.128 0.465
-0.759 -8.069 1.624
-4.050 -3.609 -2.398
-0.315 -3.342 0.672
-4.494 -8.336 -1.446

***

Record 10
GGA-PBE Ti4ZnGa3, relaxed; calculated formation energy = -415 meV/atom; ΔE to the lowest computed polymorph = 0.0 kJ/mol of formula units; final energy = -5.66 eV per atom; N(E_F) = 0.986 states/eV/atom
1.0
-1.286 -4.648 -0.162
0.941 -1.661 -4.432
5.362 1.660 3.957
Ti Ga Zn
4 3 1
Cartesian
3.721 -4.276 -1.052
3.893 -1.122 1.246
1.296 -0.374 0.415
1.124 -3.528 -1.883
1.931 -3.066 0.742
3.086 -1.584 -1.379
0.470 -0.831 -2.216
-0.643 -2.324 -0.081

***

Record 11
GGA-PBE YTlH2, relaxed; ΔE to the lowest computed polymorph = 92.5 kJ/mol of formula units; final energy = -3.80 eV per atom; N(E_F) = 0.191 states/eV/atom
1.0
0.000 3.089 3.089
3.089 0.000 3.089
3.089 3.089 0.000
Tl H Y
1 2 1
Cartesian
3.089 3.089 3.089
4.634 4.634 4.634
1.545 1.545 1.545
0.000 0.000 0.000

***

Record 12
GGA-PBE PmDySbTe, relaxed; formation energy from raw total energies = -5.2 eV per formula unit; final energy = -5.45 eV per atom; N(E_F) = 0.435 states/eV/atom
1.0
-1.411 0.099 -4.191
2.296 -2.082 -3.156
-3.576 -6.689 -1.289
Pm Te Dy Sb
1 1 1 1
Cartesian
0.278 -2.928 -7.166
-1.354 -3.228 -1.955
-2.037 -5.413 -4.111
-2.636 -7.466 -6.292

***

Record 13
GGA-PBE CeDyCoAg, relaxed; calculated formation energy = -74 meV/atom; final energy = -5.20 eV per atom; N(E_F) = 1.653 states/eV/atom
1.0
-1.736 0.339 4.667
3.065 -0.762 3.864
1.362 3.829 2.897
Co Dy Ag Ce
1 1 1 1
Cartesian
2.018 2.554 8.571
0.000 0.000 0.000
0.673 0.851 2.857
1.345 1.703 5.714